The following is a PBE-GGA calculation of a relaxed MnSiCl crystal, from Alexandria.

As for the magnetization: 2.75 Bohr magnetons per cell. The energy above the most stable polymorph in this dataset comes out at 460 meV per atom. The uncorrected formation energy comes out at 0.333 eV/atom. The total energy is -5.146 eV/atom.

It has space group P-6m2 (No. 187), with a = 4.2518 Å, b = 4.2518 Å, c = 2.9918 Å, α = 90.00°, β = 90.00° and γ = 120.00°. The distinct sites, in fractional coordinates, are Mn at (0.0000, 0.0000, 0.0000), Si at (0.3333, 0.6667, 0.5000) and Cl at (0.6667, 0.3333, 0.0000).

=====

The following is a PBE-GGA calculation of a relaxed MnSiCl2 crystal, from Alexandria.

As for the magnetization: 8.17 Bohr magnetons per cell. The energy above the most stable polymorph in this dataset comes out at 246 meV per atom. The uncorrected formation energy comes out at -0.155 eV/atom. The total energy is -4.726 eV/atom.

It has space group Cmm2 (No. 35), with a = 3.2095 Å, b = 6.0418 Å, c = 9.1388 Å, α = 90.00°, β = 90.00° and γ = 90.00°. The distinct sites, in fractional coordinates, are Mn at (0.0000, 0.0000, 0.0000), Si at (0.0000, 0.5000, 0.7957), Cl at (0.0000, 0.0000, 0.5948) and Cl at (0.0000, 0.5000, 0.1857).